Density functional theory data (PBE with a Hubbard U) for an optimized crystal structure of Fe2Pb2O.

Computed properties:
Its total energy is -0.308 Ry/atom. The polymorph energy (0 for the lowest one) is 4.3 kJ/mol of atoms. The total moment is 6.5 μB/f.u.

a = 3.4949 Å, b = 3.4949 Å, c = 8.8685 Å
α = 78.64°, β = 78.64°, γ = 90.00°
Element x y z (fractional)
Fe  0.2500  0.7500  0.5000
Fe  0.7500  0.2500  0.5000
Pb  0.5872  0.5872  0.8256
Pb  0.4128  0.4128  0.1744
O  0.0000  0.0000  0.0000